[1]
{"formula": "LiScCuAs", "functional": "PBE-GGA", "state": "optimized geometry", "lattice": [[-4.0745, 0.2674, -1.8100], [-3.0103, 2.8370, 1.6848], [-1.1826, 3.6340, -2.3119]], "species": ["Li", "As", "Sc", "Cu"], "fractional_positions": [[0.2500, 0.2500, 0.2500], [0.0000, 0.0000, 0.0000], [0.7500, 0.7500, 0.7500], [0.5000, 0.5000, 0.5000]], "de_polymorph_mev_per_atom": 0, "energy_ev_per_cell": -18.74}

---

[2]
{"formula": "NaLiPa", "functional": "PBE-GGA", "state": "optimized geometry", "lattice": [[2.7269, -4.0688, -0.2034], [0.7766, -2.6357, 4.0599], [-2.1122, -4.3944, 0.5109]], "species": ["Li", "Pa", "Na"], "fractional_positions": [[0.0000, 0.0000, 0.0000], [0.7500, 0.7500, 0.7500], [0.2500, 0.2500, 0.2500]], "de_polymorph_mev_per_atom": 0, "energy_ev_per_cell": -8.66}

---

[3]
{"formula": "CoNiHgB", "functional": "PBE-GGA", "state": "optimized geometry", "lattice": [[0.0000, 2.9016, 2.9016], [2.9016, 0.0000, 2.9016], [2.9016, 2.9016, 0.0000]], "species": ["B", "Ni", "Hg", "Co"], "fractional_positions": [[0.0000, 0.0000, 0.0000], [0.2500, 0.2500, 0.2500], [0.5000, 0.5000, 0.5000], [0.7500, 0.7500, 0.7500]], "de_polymorph_mev_per_atom": 0, "energy_ev_per_cell": -16.49}

---

[4]
{"formula": "KHfAgSeS2", "functional": "PBE-GGA", "state": "optimized geometry", "lattice": [[-4.7786, 2.9106, -5.1981], [1.4734, -4.7580, 5.7894], [-2.8816, 7.3136, 6.7440]], "species": ["S", "S", "S", "S", "Hf", "Hf", "Ag", "Ag", "K", "K", "Se", "Se"], "fractional_positions": [[0.8831, 0.1169, 0.9661], [0.8831, 0.1169, 0.5339], [0.1169, 0.8831, 0.4661], [0.1169, 0.8831, 0.0339], [0.5000, 0.5000, 0.5000], [0.5000, 0.5000, 0.0000], [0.0491, 0.9509, 0.2500], [0.9509, 0.0491, 0.7500], [0.2527, 0.7473, 0.7500], [0.7473, 0.2527, 0.2500], [0.4271, 0.5729, 0.2500], [0.5729, 0.4271, 0.7500]], "de_polymorph_mev_per_atom": 74, "energy_ev_per_cell": -64.34}

---

[5]
{"formula": "PaAlTe", "functional": "PBE-GGA", "state": "optimized geometry", "lattice": [[0.0000, 3.5404, 3.5404], [3.5404, 0.0000, 3.5404], [3.5404, 3.5404, 0.0000]], "species": ["Al", "Te", "Pa"], "fractional_positions": [[0.2500, 0.2500, 0.2500], [0.7500, 0.7500, 0.7500], [0.0000, 0.0000, 0.0000]], "de_polymorph_mev_per_atom": 0, "energy_ev_per_cell": -15.91}

---

[6]
{"formula": "Hf3AgS5", "functional": "PBE-GGA", "state": "optimized geometry", "lattice": [[6.0894, 0.0000, 0.0000], [-3.0447, 5.2736, 0.0000], [0.0000, 0.0000, 6.7968]], "species": ["S", "S", "S", "S", "S", "Hf", "Hf", "Hf", "Ag"], "fractional_positions": [[0.6667, 0.3333, 0.7651], [0.3333, 0.6667, 0.7651], [0.6667, 0.3333, 0.2349], [0.0000, 0.0000, 0.5000], [0.3333, 0.6667, 0.2349], [0.0000, 0.5000, 0.5000], [0.5000, 0.5000, 0.5000], [0.5000, 0.0000, 0.5000], [0.0000, 0.0000, 0.0000]], "energy_ev_per_cell": -60.63}

---

[7]
{"formula": "Dy2Tm2InNi2Ge4", "functional": "PBE-GGA", "state": "optimized geometry", "lattice": [[7.7328, -2.1147, 0.0000], [7.7328, 2.1147, 0.0000], [-2.2663, 0.0000, 6.6113]], "species": ["Tm", "Tm", "Ni", "Ni", "Ge", "Ge", "Ge", "Ge", "Dy", "Dy", "In"], "fractional_positions": [[0.3436, 0.3436, 0.0615], [0.6564, 0.6564, 0.9385], [0.7830, 0.7830, 0.3545], [0.2170, 0.2170, 0.6455], [0.0658, 0.0658, 0.6646], [0.7960, 0.7960, 0.7299], [0.2040, 0.2040, 0.2701], [0.9342, 0.9342, 0.3354], [0.4087, 0.4087, 0.6103], [0.5913, 0.5913, 0.3897], [0.0000, 0.0000, 0.0000]], "de_polymorph_mev_per_atom": 0, "energy_ev_per_cell": -59.11}

---

[8]
{"formula": "MgInFeW", "functional": "PBE-GGA", "state": "optimized geometry", "lattice": [[0.7048, -4.4992, -0.4492], [-1.9412, -2.2862, -3.4564], [2.5802, -1.5803, -3.4332]], "species": ["Mg", "In", "W", "Fe"], "fractional_positions": [[0.5000, 0.5000, 0.5000], [0.0000, 0.0000, 0.0000], [0.2500, 0.2500, 0.2500], [0.7500, 0.7500, 0.7500]], "de_polymorph_mev_per_atom": 215, "energy_ev_per_cell": -22.71}

---

[9]
{"formula": "Al3AgB4O12", "functional": "PBE-GGA", "state": "optimized geometry", "lattice": [[4.6478, 2.6834, 2.3635], [-4.6478, 2.6834, 2.3635], [0.0000, -5.3668, 2.3635]], "species": ["O", "O", "O", "O", "O", "O", "O", "O", "O", "O", "O", "O", "Al", "Al", "Al", "B", "B", "B", "B", "Ag"], "fractional_positions": [[0.9079, 0.0921, 0.5000], [0.6265, 0.0363, 0.7784], [0.0921, 0.5000, 0.9079], [0.9637, 0.3735, 0.2216], [0.3520, 0.5000, 0.6480], [0.5000, 0.6480, 0.3520], [0.5000, 0.9079, 0.0921], [0.3735, 0.2216, 0.9637], [0.6480, 0.3520, 0.5000], [0.0363, 0.7784, 0.6265], [0.2216, 0.9637, 0.3735], [0.7784, 0.6265, 0.0363], [0.4421, 0.5579, 0.0000], [0.5579, 0.0000, 0.4421], [0.0000, 0.4421, 0.5579], [0.0549, 0.9451, 0.5000], [0.5000, 0.0549, 0.9451], [0.5000, 0.5000, 0.5000], [0.9451, 0.5000, 0.0549], [0.0000, 0.0000, 0.0000]], "energy_ev_per_cell": -145.94}

---

[10]
{"formula": "HfFePb", "functional": "PBE-GGA", "state": "optimized geometry", "lattice": [[3.6918, -1.1490, 2.4422], [-0.4454, -1.2006, 4.3902], [0.6466, -4.3489, 1.2581]], "species": ["Pb", "Hf", "Fe"], "fractional_positions": [[0.7500, 0.7500, 0.7500], [0.0000, 0.0000, 0.0000], [0.2500, 0.2500, 0.2500]], "energy_ev_per_cell": -19.67}

---

[11]
{"formula": "NbCuSi", "functional": "PBE-GGA", "state": "optimized geometry", "lattice": [[2.1086, 1.2174, 3.4433], [-2.1086, 1.2174, 3.4433], [0.0000, -2.4348, 3.4433]], "species": ["Si", "Nb", "Cu"], "fractional_positions": [[0.7500, 0.7500, 0.7500], [0.0000, 0.0000, 0.0000], [0.2500, 0.2500, 0.2500]], "energy_ev_per_cell": -18.11}

---

[12]
{"formula": "HfZrCoCu", "functional": "PBE-GGA", "state": "optimized geometry", "lattice": [[-1.3610, -3.6457, -2.2056], [-1.0692, -3.7107, 2.2575], [-4.2698, -1.3075, 0.2602]], "species": ["Co", "Hf", "Cu", "Zr"], "fractional_positions": [[0.0000, 0.0000, 0.0000], [0.5000, 0.5000, 0.5000], [0.7500, 0.7500, 0.7500], [0.2500, 0.2500, 0.2500]], "e_form_mev_per_atom": 64, "de_polymorph_mev_per_atom": 279, "energy_ev_per_cell": -29.07}

---

[13]
{"formula": "NaLuPO", "functional": "PBE-GGA", "state": "optimized geometry", "lattice": [[-5.3293, 0.7535, 0.7801], [-0.1125, -4.2749, 3.3601], [0.9574, 2.9080, 3.7317]], "species": ["O", "O", "Na", "Na", "P", "P", "Lu", "Lu"], "fractional_positions": [[0.7500, 0.2500, 0.0000], [0.2500, 0.7500, 0.0000], [0.2500, 0.2500, 0.0000], [0.7500, 0.7500, 0.0000], [0.2500, 0.2500, 0.5000], [0.7500, 0.7500, 0.5000], [0.7500, 0.2500, 0.5000], [0.2500, 0.7500, 0.5000]], "de_polymorph_mev_per_atom": 444, "energy_ev_per_cell": -42.06}

---

[14]
{"formula": "PaGaRe", "functional": "PBE-GGA", "state": "optimized geometry", "lattice": [[-0.9064, -3.0417, 3.3387], [-4.0277, 0.1596, 2.2300], [-3.1420, -3.2993, -0.6808]], "species": ["Ga", "Re", "Pa"], "fractional_positions": [[0.2500, 0.2500, 0.2500], [0.7500, 0.7500, 0.7500], [0.0000, 0.0000, 0.0000]], "energy_ev_per_cell": -22.42}

---

[15]
{"formula": "PuSb", "functional": "PBE-GGA", "state": "optimized geometry", "lattice": [[-3.2162, 1.6064, 4.0009], [1.0335, -5.2342, -0.6832], [4.9365, 0.4820, 3.7748]], "species": ["Pu", "Pu", "Sb", "Sb"], "fractional_positions": [[0.0000, 0.0000, 0.9374], [0.3333, 0.6667, 0.4374], [0.3333, 0.6667, 0.9376], [0.0000, 0.0000, 0.4376]], "energy_ev_per_cell": -37.92}

---

[16]
{"formula": "HfTlSn2", "functional": "PBE-GGA", "state": "optimized geometry", "lattice": [[0.0000, 3.7065, 3.7065], [3.7065, 0.0000, 3.7065], [3.7065, 3.7065, 0.0000]], "species": ["Hf", "Sn", "Sn", "Tl"], "fractional_positions": [[0.5000, 0.5000, 0.5000], [0.2500, 0.2500, 0.2500], [0.0000, 0.0000, 0.0000], [0.7500, 0.7500, 0.7500]], "energy_ev_per_cell": -19.03}

---

[17]
{"formula": "BaNaNdSi3O9", "functional": "PBE-GGA", "state": "optimized geometry", "lattice": [[5.6446, 0.0000, 0.0000], [0.0000, 11.4394, 0.0000], [0.0000, 0.0000, 12.5812]], "species": ["Nd", "Nd", "Nd", "Nd", "O", "O", "O", "O", "O", "O", "O", "O", "O", "O", "O", "O", "O", "O", "O", "O", "O", "O", "O", "O", "O", "O", "O", "O", "O", "O", "O", "O", "O", "O", "O", "O", "O", "O", "O", "O", "Na", "Na", "Na", "Na", "Si", "Si", "Si", "Si", "Si", "Si", "Si", "Si", "Si", "Si", "Si", "Si", "Ba", "Ba", "Ba", "Ba"], "fractional_positions": [[0.6185, 0.5265, 0.8600], [0.3815, 0.0265, 0.6400], [0.8815, 0.4735, 0.3600], [0.1185, 0.9735, 0.1400], [0.3624, 0.3690, 0.8154], [0.9749, 0.4435, 0.9332], [0.5118, 0.5092, 0.0381], [0.3593, 0.0607, 0.8248], [0.3993, 0.4065, 0.2194], [0.3491, 0.6852, 0.8775], [0.4882, 0.0092, 0.4619], [0.8624, 0.1310, 0.1846], [0.3743, 0.8086, 0.1123], [0.6376, 0.8690, 0.6846], [0.5986, 0.6785, 0.2600], [0.6000, 0.2796, 0.0706], [0.0251, 0.9435, 0.5668], [0.8993, 0.0935, 0.7806], [0.4749, 0.0565, 0.0668], [0.4000, 0.7796, 0.4294], [0.9000, 0.7204, 0.5706], [0.9014, 0.3215, 0.7600], [0.6257, 0.3086, 0.3877], [0.6007, 0.9065, 0.2806], [0.4014, 0.1785, 0.2400], [0.1000, 0.2204, 0.9294], [0.1007, 0.5935, 0.7194], [0.0986, 0.8215, 0.7400], [0.1407, 0.9393, 0.3248], [0.1509, 0.3148, 0.3775], [0.0118, 0.9908, 0.9619], [0.8743, 0.6914, 0.8877], [0.8593, 0.4393, 0.1752], [0.6407, 0.5607, 0.6752], [0.1257, 0.1914, 0.6123], [0.9882, 0.4908, 0.5381], [0.5251, 0.5565, 0.4332], [0.8491, 0.8148, 0.1225], [0.1376, 0.6310, 0.3154], [0.6509, 0.1852, 0.6225], [0.4215, 0.7111, 0.6058], [0.5785, 0.2111, 0.8942], [0.9215, 0.7889, 0.3942], [0.0785, 0.2889, 0.1058], [0.0972, 0.3465, 0.8589], [0.3971, 0.9152, 0.3772], [0.6029, 0.4152, 0.1228], [0.1029, 0.0848, 0.8772], [0.6055, 0.8017, 0.1873], [0.5972, 0.1535, 0.1411], [0.8945, 0.1983, 0.6873], [0.8971, 0.5848, 0.6228], [0.1055, 0.6983, 0.8127], [0.9028, 0.8465, 0.6411], [0.4028, 0.6535, 0.3589], [0.3945, 0.3017, 0.3127], [0.3982, 0.3819, 0.5801], [0.6018, 0.8819, 0.9199], [0.8982, 0.1181, 0.4199], [0.1018, 0.6181, 0.0801]], "energy_ev_per_cell": -450.35}

---

[18]
{"formula": "ScSnAu", "functional": "PBE-GGA", "state": "optimized geometry", "lattice": [[4.5848, 0.0000, 0.0000], [-2.2924, 3.9706, 0.0000], [0.0000, 0.0000, 7.1159]], "species": ["Au", "Au", "Sn", "Sn", "Sc", "Sc"], "fractional_positions": [[0.6667, 0.3333, 0.5606], [0.3333, 0.6667, 0.0606], [0.3333, 0.6667, 0.4572], [0.6667, 0.3333, 0.9572], [0.0000, 0.0000, 0.7323], [0.0000, 0.0000, 0.2323]], "energy_ev_per_cell": -31.37}

---

[19]
{"formula": "AlMoOsAu", "functional": "PBE-GGA", "state": "optimized geometry", "lattice": [[0.0000, 3.1566, 3.1566], [3.1566, 0.0000, 3.1566], [3.1566, 3.1566, 0.0000]], "species": ["Au", "Al", "Mo", "Os"], "fractional_positions": [[0.7500, 0.7500, 0.7500], [0.5000, 0.5000, 0.5000], [0.0000, 0.0000, 0.0000], [0.2500, 0.2500, 0.2500]], "de_polymorph_mev_per_atom": 0, "energy_ev_per_cell": -28.55}

---

[20]
{"formula": "RbZrNO", "functional": "PBE-GGA", "state": "optimized geometry", "lattice": [[-0.4257, 3.8398, 2.2165], [-2.2428, -2.1078, 3.2195], [6.9330, -1.4655, 3.8704]], "species": ["O", "O", "N", "N", "Zr", "Zr", "Rb", "Rb"], "fractional_positions": [[0.2500, 0.7500, 0.9998], [0.7500, 0.2500, 0.9998], [0.7500, 0.7500, 0.2993], [0.2500, 0.2500, 0.6998], [0.7500, 0.7500, 0.0728], [0.2500, 0.2500, 0.9269], [0.2500, 0.7500, 0.5009], [0.7500, 0.2500, 0.5009]], "de_polymorph_mev_per_atom": 334, "energy_ev_per_cell": -56.24}

---

[21]
{"formula": "Li4GaCuPt2", "functional": "PBE-GGA", "state": "optimized geometry", "lattice": [[-4.1150, 1.1220, 0.0813], [-1.1097, -3.9981, -0.9910], [-0.2571, -1.3618, 5.7818]], "species": ["Li", "Li", "Li", "Li", "Pt", "Pt", "Ga", "Cu"], "fractional_positions": [[0.0000, 0.5000, 0.7613], [0.5000, 0.0000, 0.2387], [0.0000, 0.0000, 0.5000], [0.5000, 0.5000, 0.0000], [0.0000, 0.5000, 0.2572], [0.5000, 0.0000, 0.7428], [0.5000, 0.5000, 0.5000], [0.0000, 0.0000, 0.0000]], "energy_ev_per_cell": -30.71}

---

[22]
{"formula": "NaNbCl6", "functional": "PBE-GGA", "state": "optimized geometry", "lattice": [[6.4306, 0.0000, -0.0012], [0.0000, 6.8711, 0.0000], [-0.2436, 0.0000, 19.0837]], "species": ["Nb", "Nb", "Nb", "Nb", "Cl", "Cl", "Cl", "Cl", "Cl", "Cl", "Cl", "Cl", "Cl", "Cl", "Cl", "Cl", "Cl", "Cl", "Cl", "Cl", "Cl", "Cl", "Cl", "Cl", "Cl", "Cl", "Cl", "Cl", "Na", "Na", "Na", "Na"], "fractional_positions": [[0.7433, 0.7161, 0.3876], [0.2567, 0.2839, 0.6124], [0.2567, 0.2161, 0.1124], [0.7433, 0.7839, 0.8876], [0.0469, 0.9642, 0.8456], [0.9236, 0.4935, 0.8457], [0.0469, 0.5358, 0.3456], [0.6195, 0.8138, 0.7627], [0.9531, 0.0358, 0.1544], [0.9531, 0.4642, 0.6544], [0.5858, 0.4198, 0.4102], [0.9236, 0.0065, 0.3457], [0.4142, 0.5802, 0.5898], [0.5503, 0.3995, 0.0901], [0.6195, 0.6862, 0.2627], [0.1092, 0.2474, 0.5033], [0.0764, 0.5065, 0.1543], [0.4497, 0.8995, 0.4099], [0.1092, 0.2526, 0.0033], [0.8908, 0.7474, 0.9967], [0.0764, 0.9935, 0.6543], [0.4497, 0.6005, 0.9099], [0.4142, 0.9198, 0.0898], [0.8908, 0.7526, 0.4967], [0.5503, 0.1005, 0.5901], [0.3805, 0.3138, 0.7373], [0.3805, 0.1862, 0.2373], [0.5858, 0.0802, 0.9102], [0.2077, 0.8086, 0.2513], [0.7923, 0.3086, 0.2487], [0.2077, 0.6914, 0.7513], [0.7923, 0.1914, 0.7487]], "energy_ev_per_cell": -133.85}

---

[23]
{"formula": "GdDyFe2Br2", "functional": "PBE-GGA", "state": "optimized geometry", "lattice": [[3.8769, 0.0000, 0.0000], [-1.9385, 3.3575, 0.0000], [0.0000, 0.0000, 11.5278]], "species": ["Fe", "Fe", "Gd", "Br", "Br", "Dy"], "fractional_positions": [[0.3333, 0.6667, 0.9938], [0.6667, 0.3333, 0.0034], [0.0000, 0.0000, 0.1718], [0.3333, 0.6667, 0.3405], [0.6667, 0.3333, 0.6621], [0.0000, 0.0000, 0.8284]], "energy_ev_per_cell": -34.81}